RbNa3P | PBE | optimized geometry

Cell: 5.6845 5.6845 5.6845 Å, 90.00 90.00 90.00°
Last column: nearest neighbours and their distance in Å.
Space group Pm-3m (No. 221)
Unique sites:
Rb1 0.0000 0.0000 0.0000 x1  12 Na 4.02
Na1 0.0000 0.5000 0.5000 x3  2 P 2.84
P1 0.5000 0.5000 0.5000 x1  6 Na 2.84

## Properties
* offset from the most stable computed form: 0 kJ/mol of formula units
* M_tot: 0.0 Bohr magnetons per cell
* ΔH_f (0 K): -0.15 eV/atom

PH9PtC3Cl2 | PBE | optimized geometry

Cell: 6.9699 10.9974 12.2939 Å, 90.00 108.68 90.00°
Last column: nearest neighbours and their distance in Å.
Space group P2_1/c (No. 14)
Unique sites:
P1 0.2029 0.1599 0.2847 x4  3 C 1.81-1.82
H1 0.0527 0.6699 0.1216 x4  1 C 1.10
H2 0.0774 0.0266 0.4028 x4  1 C 1.10
H3 0.1182 0.1268 0.7811 x4  1 C 1.10
H4 0.1962 0.1597 0.4803 x4  1 C 1.10
H5 0.3355 0.1525 0.7364 x4  1 C 1.10
H6 0.3595 0.1587 0.8855 x4  1 C 1.10
H7 0.4290 0.5124 0.8342 x4  1 C 1.10
H8 0.4614 0.6219 0.0860 x4  1 C 1.10
H9 0.4719 0.6057 0.2330 x4  1 C 1.10
Pt1 0.0004 0.1054 0.1119 x4  1 P 2.22, 3 Cl 2.31-2.46
C1 0.0953 0.1254 0.3978 x4  3 H 1.10
C2 0.2592 0.1787 0.7982 x4  3 H 1.10
C3 0.4491 0.0862 0.3293 x4  3 H 1.10
Cl1 0.2200 0.5397 0.5784 x4  2 Pt 2.34-2.46
Cl2 0.2395 0.7436 0.3735 x4  1 Pt 2.31

## Properties
* raw total energy: -4.91 eV per atom
* M_tot: 0.0 Bohr magnetons per cell

Co2TeRh | PBE | optimized geometry

Cell: 3.0179 3.5863 5.4009 Å, 90.00 90.00 90.00°
Last column: nearest neighbours and their distance in Å.
Space group Pmmm (No. 47)
Unique sites:
Co1 0.0000 0.0000 0.2346 x2  1 Co 2.53, 4 Rh 2.66, 4 Te 2.75
Te1 0.5000 0.5000 0.5000 x1  2 Rh 2.70, 8 Co 2.75, 2 Te 3.02
Rh1 0.5000 0.5000 0.0000 x1  8 Co 2.66, 2 Te 2.70

## Properties
* energy relative to the elements, uncorrected: 0.297 eV per atom
* M_tot: 3.2 Bohr magnetons per cell

NdGaBi2 | PBE | optimized geometry

Cell: 4.8851 4.8851 4.7511 Å, 90.00 90.00 90.00°
Last column: nearest neighbours and their distance in Å.
Space group P4/mmm (No. 123)
Unique sites:
Nd1 0.0000 0.0000 0.0000 x1  8 Bi 3.41, 4 Ga 3.45
Ga1 0.5000 0.5000 0.0000 x1  8 Bi 3.41, 4 Nd 3.45
Bi1 0.0000 0.5000 0.5000 x2  4 Nd 3.41, 4 Ga 3.41, 4 Bi 3.45

## Properties
* offset from the most stable computed form: 1 kJ/mol of formula units
* M_tot: 0.0 Bohr magnetons per cell
* ΔH_f (0 K): -0.43 eV/atom